A plane-wave DFT calculation with PBE-GGA was carried out for a relaxed Tl3Ga2Au3 crystal.

Cell: 4.0075 6.6587 14.8967 Å, 90.00 90.00 107.51°
Positions (direct):
Tl1 0.6150 0.2300 0.2500
Tl2 0.3850 0.7700 0.7500
Ga1 0.2300 0.4600 0.4177
Au1 0.3918 0.7835 0.5346
Au2 0.2939 0.5877 0.2500
Tl3 0.0635 0.1271 0.6283
Ga2 0.7700 0.5400 0.5823
Au3 0.7061 0.4123 0.7500
Tl4 0.9365 0.8729 0.1283
Tl5 0.9365 0.8729 0.3717
Au4 0.6082 0.2165 0.4654
Au5 0.6082 0.2165 0.0346
Ga3 0.2300 0.4600 0.0823
Au6 0.3918 0.7835 0.9654
Ga4 0.7700 0.5400 0.9177
Tl6 0.0635 0.1271 0.8717

Values from the calculation:
- symmetry = No. 63
- energy (eV/atom) = -2.98
- calculated formation energy (eV/atom) = -0.110

A plane-wave DFT calculation with PBE-GGA was carried out for a relaxed Ca2PtAu crystal.

Cell: 4.2130 4.2130 7.3565 Å, 73.36 73.36 60.00°
Positions (direct):
Ca1 0.2585 0.2585 0.2246
Ca2 0.0744 0.0744 0.7767
Au1 0.5042 0.5042 0.4873
Pt1 0.6629 0.6629 0.0114

Values from the calculation:
- symmetry = No. 160
- energy (eV/atom) = -4.04
- calculated formation energy (eV/atom) = -0.713

A plane-wave DFT calculation with PBE-GGA was carried out for a relaxed Ca4Pt crystal.

Cell: 10.1375 10.1375 10.1375 Å, 156.41 156.41 33.60°
Positions (direct):
Pt1 0.0000 0.0000 0.0000
Ca1 0.4191 0.4191 0.0000
Ca2 0.5809 0.5809 0.0000
Ca3 0.7500 0.2500 0.5000
Ca4 0.2500 0.7500 0.5000

Values from the calculation:
- symmetry = No. 139
- energy (eV/atom) = -2.61
- calculated formation energy (eV/atom) = 0.195
- energy above the most stable polymorph in this dataset (meV per atom) = 667

A plane-wave DFT calculation with PBE-GGA was carried out for a relaxed Ti2MnNb2 crystal.

Cell: 3.4540 3.4540 7.7139 Å, 77.06 77.06 90.00°
Positions (direct):
Nb1 0.5866 0.5866 0.8269
Ti1 0.2500 0.7500 0.5000
Ti2 0.7500 0.2500 0.5000
Nb2 0.4134 0.4134 0.1731
Mn1 0.0000 0.0000 0.0000

Values from the calculation:
- symmetry = No. 139
- energy (eV/atom) = -8.24
- calculated formation energy (eV/atom) = 0.784
- energy above the most stable polymorph in this dataset (meV per atom) = 704

- Among the records above, which one has the lowest energy?
  Ti2MnNb2